# 1
Compound: Ce2NdSe4
Source: Alexandria via LeMat-Bulk
Functional: PBE
Structure: relaxed

Structure (POSCAR):
```
Ce2NdSe4
1.0
7.312 0.000 4.215
2.506 6.904 4.103
0.022 0.027 8.413
Ce Nd Se
4 2 8
Direct
0.000 0.000 0.000
0.000 0.000 0.500
0.000 0.500 0.500
0.500 0.000 0.500
0.500 0.500 0.000
0.000 0.500 0.000
0.253 0.246 0.247
0.747 0.253 0.254
0.253 0.747 0.746
0.747 0.754 0.753
0.757 0.751 0.251
0.758 0.249 0.749
0.242 0.751 0.251
0.243 0.249 0.749
```

Summary:
ΔE_f (raw), eV/atom: -1.81
Space-group type: Imma (74)
Total magnetization, μB per formula unit: 2.13
Offset from the most stable computed form, eV/atom: 0.0000

=====

# 2
Compound: Ta4Nb5V
Source: Alexandria via LeMat-Bulk
Functional: PBE
Structure: relaxed

Structure (POSCAR):
```
Ta4Nb5V
1.0
3.292 0.000 0.000
0.000 3.292 0.000
0.000 0.000 16.460
Ta Nb V
4 5 1
Direct
0.000 0.000 0.195
0.000 0.000 0.398
0.000 0.000 0.602
0.000 0.000 0.805
0.500 0.500 0.093
0.500 0.500 0.296
0.500 0.500 0.500
0.500 0.500 0.704
0.500 0.500 0.907
0.000 0.000 0.000
```

Summary:
Space-group type: P4/mmm (123)
Total magnetization, μB per formula unit: 0.00
Total DFT energy (no corrections), eV/atom: -10.6829

=====

# 3
Compound: InSnRh3
Source: Alexandria via LeMat-Bulk
Functional: PBE
Structure: relaxed

Structure (POSCAR):
```
InSnRh3
1.0
8.355 0.004 0.003
-0.003 6.626 -0.082
-0.003 1.265 6.505
In Sn Rh
4 4 12
Direct
0.250 0.020 0.980
0.750 0.980 0.020
0.250 0.647 0.353
0.750 0.353 0.647
0.750 0.483 0.129
0.750 0.871 0.517
0.250 0.517 0.871
0.250 0.129 0.483
0.512 0.295 0.967
0.988 0.033 0.705
0.488 0.705 0.033
0.012 0.967 0.295
0.012 0.705 0.033
0.488 0.967 0.295
0.988 0.295 0.967
0.512 0.033 0.705
0.500 0.367 0.367
0.000 0.633 0.633
0.500 0.633 0.633
0.000 0.367 0.367
```

Summary:
Space-group type: Cmcm (63)
Total magnetization, μB per formula unit: 0.00
Offset from the most stable computed form, eV/atom: 0.0000

=====

# 4
Compound: Cd7Hg2Sb
Source: Alexandria via LeMat-Bulk
Functional: PBE
Structure: relaxed

Structure (POSCAR):
```
Cd7Hg2Sb
1.0
8.395 0.000 4.094
3.698 7.238 3.071
1.027 -0.446 8.549
Cd Hg Sb
14 4 2
Direct
0.658 0.528 0.827
0.987 0.028 0.327
0.278 0.892 0.942
0.476 0.210 0.492
0.591 0.250 0.750
0.888 0.392 0.442
0.177 0.290 0.008
0.823 0.710 0.992
0.112 0.608 0.558
0.409 0.750 0.250
0.524 0.790 0.508
0.722 0.108 0.058
0.013 0.972 0.673
0.342 0.472 0.173
0.681 0.884 0.698
0.736 0.384 0.198
0.264 0.616 0.802
0.319 0.116 0.302
0.064 0.250 0.750
0.936 0.750 0.250
```

Summary:
ΔE_f (raw), eV/atom: 0.05
Space-group type: C2/c (15)
Total magnetization, μB per formula unit: 0.00

=====

# 5
Compound: InBAs2
Source: Alexandria via LeMat-Bulk
Functional: PBE
Structure: relaxed

Structure (POSCAR):
```
InBAs2
1.0
5.612 0.000 0.000
0.000 5.612 0.000
2.806 2.806 5.172
As B In
4 2 2
Direct
0.546 0.125 0.250
0.204 0.625 0.250
0.375 0.454 0.750
0.875 0.796 0.750
0.500 0.500 0.000
0.250 0.750 0.500
0.000 0.000 0.000
0.750 0.250 0.500
```

Summary:
Space-group type: I-42d (122)
Total magnetization, μB per formula unit: 0.00
Offset from the most stable computed form, eV/atom: 0.0000

=====

# 6
Compound: Pr7Er3
Source: Alexandria via LeMat-Bulk
Functional: PBE
Structure: relaxed

Structure (POSCAR):
```
Pr7Er3
1.0
4.950 0.000 -1.518
-0.988 6.455 -3.221
0.627 -0.554 10.874
Pr Er
7 3
Direct
0.000 0.500 0.000
0.200 0.299 0.400
0.800 0.701 0.600
0.398 0.099 0.797
0.602 0.901 0.203
0.401 0.600 0.801
0.599 0.400 0.199
0.000 0.000 0.000
0.201 0.803 0.403
0.799 0.197 0.597
```

Summary:
Space-group type: C2/m (12)
Total magnetization, μB per formula unit: 0.00
Offset from the most stable computed form, eV/atom: 0.0000

=====

What are the ρ values for these records? In order: 5.8, 11.5, 10.0, 8.8, 5.6, 7.2 g cm⁻³.